{
  "formula": "HoCd2Pd7",
  "functional": "PBE",
  "state": "relaxed",
  "lattice": [[4.3646, 0.0000, 0.0000], [0.0000, 7.8606, -0.5751], [0.0000, -4.0596, 6.7558]],
  "species": ["Pd", "Pd", "Ho", "Pd", "Pd", "Pd", "Cd", "Cd", "Pd", "Pd"],
  "frac_coords": [[0.5000, 0.0814, 0.2866], [0.5000, 0.5000, 0.5000], [0.0000, 0.0000, 0.0000], [0.0000, 0.1886, 0.8114], [0.5000, 0.2866, 0.0814], [0.5000, 0.9186, 0.7134], [0.5000, 0.7019, 0.2981], [0.5000, 0.2981, 0.7019], [0.5000, 0.7134, 0.9186], [0.0000, 0.8114, 0.1886]],
  "formation_energy_mev_per_atom": -50.0,
  "space_group": "Cmmm, No. 65"
}